Entry 1:
First-principles (PBE-GGA) data for a relaxed structure of SrY2W, as listed in Alexandria via LeMat-Bulk.

Structure (CIF):
```
data_SrY2W
_space_group_name_H-M_alt 'R -3 m'
_space_group_IT_number 166
_space_group_name_Hall '-R 3 2"'
_cell_length_a 3.6583
_cell_length_b 3.6583
_cell_length_c 32.6390
_cell_angle_alpha 90.00
_cell_angle_beta 90.00
_cell_angle_gamma 120.00
loop_
_atom_site_label
_atom_site_type_symbol
_atom_site_fract_x
_atom_site_fract_y
_atom_site_fract_z
Sr1 Sr 0.0000 0.0000 0.0000
Y1 Y 0.0000 0.0000 0.2287
W1 W 0.0000 0.0000 0.5000
```

Excess energy over the best structure of this formula in the dataset = 222.8 meV/atom
Fermi-level density of states = 1.728 states/eV/atom
DFT formation energy = 2.63 eV per formula unit

---

Entry 2:
First-principles (PBE-GGA) data for a relaxed structure of KReSb2, as listed in Alexandria via LeMat-Bulk.

Structure (CIF):
```
data_KReSb2
_space_group_name_H-M_alt 'C 1 2/m 1'
_space_group_IT_number 12
_space_group_name_Hall '-C 2y'
_cell_length_a 8.177
_cell_length_b 3.360
_cell_length_c 8.032
_cell_angle_alpha 90.00
_cell_angle_beta 99.49
_cell_angle_gamma 90.00
loop_
_atom_site_label
_atom_site_type_symbol
_atom_site_fract_x
_atom_site_fract_y
_atom_site_fract_z
K1 K 0.000 0.000 0.000
Re1 Re 0.000 0.500 0.500
Sb1 Sb 0.229 0.000 0.675
```

Excess energy over the best structure of this formula in the dataset = 152.8 meV/atom
E_form (uncorrected) = 210 meV per atom
Fermi-level density of states = 0.708 states/eV/atom